First-principles (PBE) data for Pm2AgN after structural relaxation, as listed in the Alexandria database.

Output
Relative energy among the computed polymorphs (meV/atom): 405
Calculated total energy (eV/atom): -5.4816
Size of the total moment (μB per formula unit): 0.0
V (Å³/atom): 19.693
Raw formation energy (eV per atom): -0.3121
SG: P4/mmm, No. 123
Fermi-level density of states (states/eV per cell): 3.65

```
Pm2AgN
1.0
3.197 0.000 0.000
0.000 3.197 0.000
0.000 0.000 7.707
Pm Ag N
2 1 1
Direct
0.000 0.000 0.192 Pm
0.000 0.000 0.808 Pm
0.500 0.500 0.500 Ag
0.500 0.500 0.000 N
```